# 1
Here is crystalline Np2BeSiPt6 at its relaxed geometry from Alexandria. Energies are from PBE.

The uncorrected energy comes out at -299.42 eV per cell.

The structure belongs to space group Fm-3m (No. 225); the cell edges are 9.029, 9.029 and 9.029 Å and the angles 90.00°, 90.00° and 90.00°. The asymmetric unit holds Np at (0.250, 0.250, 0.250), Be at (0.000, 0.000, 0.000), Si at (0.000, 0.000, 0.500) and Pt at (0.000, 0.000, 0.241).



# 2
Here is crystalline Rb3Np3BeS8 at its relaxed geometry from Alexandria. Energies are from PBE.

The uncorrected energy comes out at -192.15 eV per cell.

The structure belongs to space group C2/m (No. 12); the cell edges are 14.056, 7.790 and 9.110 Å and the angles 90.00°, 121.97° and 90.00°. The asymmetric unit holds Rb at (0.000, 0.000, 0.000), Rb at (0.250, 0.250, 0.000), Np at (0.000, 0.500, 0.500), Np at (0.250, 0.250, 0.500), Be at (0.000, 0.000, 0.500), S at (0.022, 0.214, 0.343), S at (0.230, 0.500, 0.287) and S at (0.230, 0.500, 0.693).



# 3
Here is crystalline RbNpBeS3 at its relaxed geometry from Alexandria. Energies are from PBE.

The uncorrected energy comes out at -74.60 eV per cell.

The structure belongs to space group P2_1/m (No. 11); the cell edges are 9.268, 3.900 and 9.287 Å and the angles 90.00°, 109.41° and 90.00°. The asymmetric unit holds Rb at (0.203, 0.250, 0.236), Np at (0.333, 0.750, 0.849), Be at (0.076, 0.250, 0.604), S at (0.118, 0.250, 0.837), S at (0.159, 0.750, 0.530) and S at (0.464, 0.750, 0.158).



# 4
Here is crystalline Rb2Np2BeS6 at its relaxed geometry from Alexandria. Energies are from PBE.

The uncorrected energy comes out at -137.52 eV per cell.

The structure belongs to space group C2/m (No. 12); the cell edges are 6.518, 12.671 and 8.092 Å and the angles 90.00°, 105.07° and 90.00°. The asymmetric unit holds Rb at (0.000, 0.149, 0.000), Np at (0.000, 0.334, 0.500), Be at (0.000, 0.000, 0.500), S at (0.218, 0.000, 0.362) and S at (0.241, 0.188, 0.696).



Looking at formation energy (no corrections) for the records above, in order, we have -0.358; -1.174; -1.213; -1.132 eV per atom.